This record from the Alexandria database describes a relaxed structure of LaHg2Ir. The functional is PBE-GGA.

Lattice parameters (Å, degrees): 4.164 4.194 5.377 90.00 90.00 90.00
Fractional positions:
La1 0.000 0.000 0.000
Hg1 0.000 0.500 0.500
Hg2 0.500 0.000 0.500
Ir1 0.500 0.500 0.000

Formation enthalpy at 0 K   -182.8 meV per atom
Total magnetic moment   0.000 μB per formula unit